A geometry-optimized Tl3ZnIr structure, computed with PBE. Values from VASP.

Structure (Quantum ESPRESSO input):
```
&SYSTEM
  ibrav = 0, nat = 5, ntyp = 3
/
ATOMIC_SPECIES
Tl 204.38 Tl.upf
Ir 192.22 Ir.upf
Zn 65.41 Zn.upf
CELL_PARAMETERS angstrom
5.171 0.000 0.000
0.000 5.171 0.000
0.000 0.000 5.171
ATOMIC_POSITIONS crystal
Tl 0.000 0.500 0.000
Tl 0.000 0.000 0.500
Tl 0.500 0.000 0.000
Ir 0.500 0.500 0.500
Zn 0.000 0.000 0.000
```

The calculation puts the magnetization at 0.72 Bohr magnetons per cell. Its energy of formation from the pure elements is 1.040 eV/atom. The energy above the lowest structure with this stoichiometry comes out at 817 meV/atom. The value obtained for the density of states at the Fermi level is 1.64 states/eV/atom.